Entry 1:
A PBEsol-optimized structure of LaYPt2, computed with SCAN.

Lattice parameters (Å, degrees): 4.4992 3.8058 10.6560 90.00 90.00 90.00
Closest atoms and distances in Å follow each position.
Space group Amm2 (No. 38)
Symmetry-distinct sites (fractional):
La 0.0000 0.0000 0.0000 [2 per cell]  7 Pt 2.90-3.08
Y 0.5000 0.0000 0.7255 [2 per cell]  7 Pt 2.96-3.04
Pt 0.0000 0.0000 0.2722 [2 per cell]  3 La 2.90-3.08, 2 Pt 2.92, 4 Y 2.99
Pt 0.5000 0.0000 0.4476 [2 per cell]  2 Pt 2.92, 3 Y 2.96-3.04, 4 La 3.00

Calculated values
Total magnetization ... 0.0 μB/f.u.
Polymorph energy (0 for the lowest one) ... 0 meV/atom
V ... 182.5 Å³ per cell

Entry 2:
A PBEsol-optimized structure of LaY2Pt2, computed with SCAN.

Lattice parameters (Å, degrees): 7.7633 7.7633 3.9263 90.00 90.00 90.00
Closest atoms and distances in Å follow each position.
Space group P4/mbm (No. 127)
Symmetry-distinct sites (fractional):
La 0.0000 0.0000 0.0000 [2 per cell]  4 Pt 3.02
Y 0.1586 0.3414 0.5000 [4 per cell]  6 Pt 3.00-3.01
Pt 0.1342 0.6342 0.0000 [4 per cell]  1 Pt 2.95, 6 Y 3.00-3.01, 2 La 3.02

Calculated values
Total magnetization ... 0.0 μB/f.u.
Polymorph energy (0 for the lowest one) ... 0 meV/atom
V ... 236.6 Å³ per cell